<one>
CsBa2Te (PBE-GGA, optimized geometry); Fermi-level density of states = 3.6 states/eV/f.u.; crystal system = trigonal
1.0
-1.9510 -4.0811 -1.5220
2.7886 -3.5261 -1.6028
1.0791 -7.5564 11.3957
Ba Te Cs
2 1 1
Cartesian
0.8046 -5.8332 7.1270
1.1121 -9.3304 1.1439
0.9583 -7.5818 4.1355
0.0000 0.0000 0.0000

***

<two>
CsBa2Te (PBE-GGA, optimized geometry); Fermi-level density of states = 4.0 states/eV/f.u.; crystal system = trigonal
1.0
4.8281 0.0000 0.0000
2.4141 4.1813 0.0000
2.4141 1.3938 13.0432
Ba Te Cs
2 1 1
Cartesian
2.4141 1.3938 2.0871
2.4141 1.3938 10.9580
4.8281 2.7875 0.0047
4.8281 2.7875 6.5149

***

Which structure is most stable? <two>, by 28 meV/atom over the runner-up.

***

<one>
CsBa3Tl (PBE-GGA, optimized geometry); Fermi-level density of states = 3.7 states/eV/f.u.; crystal system = cubic
1.0
6.5188 0.0000 0.0000
0.0000 6.5188 0.0000
0.0000 0.0000 6.5188
Ba Tl Cs
3 1 1
Cartesian
0.0000 3.2594 0.0000
3.2594 0.0000 0.0000
0.0000 0.0000 3.2594
3.2594 3.2594 3.2594
0.0000 0.0000 0.0000

***

<two>
CsBa3Tl (PBE-GGA, optimized geometry); Fermi-level density of states = 5.3 states/eV/f.u.; crystal system = cubic
1.0
6.9818 0.0000 0.0000
0.0000 6.9818 0.0000
0.0000 0.0000 6.9818
Cs Tl Ba
1 1 3
Cartesian
3.4909 3.4909 3.4909
0.0000 0.0000 0.0000
0.0000 0.0000 3.4909
3.4909 0.0000 0.0000
0.0000 3.4909 0.0000

***

Which structure is most stable? <two>, by 681 meV/atom over the runner-up.

***

<one>
CsBaV3 (PBE-GGA, optimized geometry); Fermi-level density of states = 10.8 states/eV/f.u.; crystal system = cubic
1.0
-4.2916 2.8435 -1.0146
-2.3251 -4.2377 -2.0418
-1.9259 -1.2204 4.7259
V Ba Cs
3 1 1
Cartesian
-0.9629 -0.6102 2.3630
-1.1625 -2.1188 -1.0209
-2.1458 1.4218 -0.5073
-4.2713 -1.3072 0.8348
0.0000 0.0000 0.0000

***

<two>
CsBaV3 (PBE-GGA, optimized geometry); Fermi-level density of states = 15.6 states/eV/f.u.; crystal system = cubic
1.0
-1.1852 -4.8059 2.4282
5.3816 -1.1382 0.3740
0.1753 2.4505 4.9357
V Cs Ba
3 1 1
Cartesian
-0.5926 -2.4029 1.2141
0.0877 1.2253 2.4678
2.6908 -0.5691 0.1870
2.1859 -1.7468 3.8689
0.0000 0.0000 0.0000

***

Which structure is most stable? <one>, by 123 meV/atom over the runner-up.

***

<one>
CsBa2Zn2 (PBE-GGA, optimized geometry); Fermi-level density of states = 5.0 states/eV/f.u.; crystal system = tetragonal
1.0
6.2532 0.0000 0.0000
0.0000 6.2532 0.0000
3.1266 3.1266 5.5052
Ba Cs Zn
2 1 2
Cartesian
3.1266 6.2532 2.7526
6.2532 3.1266 2.7526
0.0000 0.0000 0.0000
3.1266 3.1266 1.2313
6.2532 6.2532 4.2739

***

<two>
CsBa2Zn2 (PBE-GGA, optimized geometry); Fermi-level density of states = 5.7 states/eV/f.u.; crystal system = tetragonal
1.0
-5.7924 -7.4722 2.1704
7.6566 -5.9555 -0.0692
0.6631 0.8000 4.5239
Ba Zn Cs
4 4 2
Cartesian
4.4416 -4.6066 2.5448
-1.9142 -8.0211 4.0803
3.0599 -9.5207 3.6163
-0.5326 -3.1069 3.0088
2.2578 -3.1549 0.2269
-2.6785 -5.3041 1.3306
-0.3936 -10.2728 1.8743
4.5427 -8.1236 0.7706
0.0000 0.0000 0.0000
0.9321 -6.7138 1.0506

***

Which structure is most stable? <two>, by 26 meV/atom over the runner-up.

***

<one>
CsBaZr3 (PBE-GGA, optimized geometry); Fermi-level density of states = 9.4 states/eV/f.u.; crystal system = cubic
1.0
5.5003 0.0000 0.0000
0.0000 5.5003 0.0000
0.0000 0.0000 5.5003
Cs Zr Ba
1 3 1
Cartesian
0.0000 0.0000 0.0000
0.0000 0.0000 2.7501
2.7501 0.0000 0.0000
0.0000 2.7501 0.0000
2.7501 2.7501 2.7501

***

<two>
CsBaZr3 (PBE-GGA, optimized geometry); Fermi-level density of states = 7.7 states/eV/f.u.; crystal system = cubic
1.0
-0.1501 1.7768 -5.3296
3.9061 -3.7989 -1.3765
-4.0378 -3.7410 -1.1335
Ba Cs Zr
1 1 3
Cartesian
0.0000 0.0000 0.0000
-0.1410 -2.8816 -3.9198
-0.0751 0.8884 -2.6648
-2.0189 -1.8705 -0.5667
1.9530 -1.8995 -0.6883

***

Which structure is most stable? <one>, by 148 meV/atom over the runner-up.

***

<one>
Ba5Cu (PBE-GGA, optimized geometry); Fermi-level density of states = 8.1 states/eV/f.u.; crystal system = orthorhombic
1.0
-8.5969 2.6213 -4.5664
7.7580 -6.2016 1.7275
-3.5665 -3.0845 4.9438
Ba Cu
5 1
Cartesian
2.6915 -3.4684 -0.2223
-8.1094 2.3583 -4.3788
-2.6982 -0.5608 -2.2964
-6.5055 -1.0111 -0.6034
-2.4175 -3.2165 0.9698
3.7209 -6.5280 3.3321

***

<two>
Ba5Cu (PBE-GGA, optimized geometry); Fermi-level density of states = 8.0 states/eV/f.u.; crystal system = monoclinic
1.0
2.1883 7.4018 0.0521
-2.1883 7.4018 0.0521
0.0000 2.2378 10.0646
Ba Cu
5 1
Cartesian
0.0000 11.6691 6.5906
0.0000 15.6562 4.5787
0.0000 7.5164 8.3265
0.0000 4.7713 2.3608
0.0000 1.1403 0.2680
0.0000 13.2112 10.0763

***

Which structure is most stable? <two>, by 101 meV/atom over the runner-up.

***

<one>
BaDyCu (PBE-GGA, optimized geometry); Fermi-level density of states = 3.3 states/eV/f.u.; crystal system = orthorhombic
1.0
-0.5796 -2.9897 4.2964
0.1643 -0.6494 -3.6572
13.5043 -1.3911 0.8537
Dy Ba Cu
2 2 2
Cartesian
11.9111 -2.0633 0.1710
1.4959 -0.9904 -0.4874
8.4021 -3.2313 2.1124
4.4248 -2.8216 1.8610
6.7032 -1.5331 -0.1626
-0.3384 -2.3255 1.5636

***

<two>
BaDyCu (PBE-GGA, optimized geometry); Fermi-level density of states = 2.9 states/eV/f.u.; crystal system = tetragonal
1.0
-2.8071 -2.4032 -0.5499
0.1591 -1.0081 3.5938
-3.1317 6.5540 0.0353
Ba Cu Dy
1 1 1
Cartesian
-0.2030 0.2209 0.0710
-3.0439 0.1658 2.1231
-2.5328 2.7560 0.8852

***

Which structure is most stable? <two>, by 47 meV/atom over the runner-up.

***

<one>
BaEr2CuO5 (PBE-GGA, optimized geometry); Fermi-level density of states = 5.6 states/eV/f.u.; crystal system = tetragonal
1.0
-5.6088 2.8048 -1.6667
-1.6839 -5.3277 -3.2990
1.1512 -0.8985 7.2447
O Er Cu Ba
10 4 2 2
Cartesian
0.0000 0.0000 0.0000
-3.6532 0.1306 3.4622
-2.4883 -3.5520 -1.1832
-5.6575 -3.3036 -2.7311
-0.4840 -0.1178 5.0102
-0.1111 -3.3892 3.7217
-6.0304 -0.0323 -1.4426
-2.8613 -0.2807 0.1053
-3.2802 -3.1408 2.1738
-3.6464 -1.2615 -2.4828
-1.5198 -1.2593 -1.3676
-4.0639 0.9666 -1.6909
-5.7729 -1.2636 -3.5981
-3.2288 -3.4896 -3.2747
-2.0895 -3.7438 0.7314
-4.0520 0.3224 1.5476
-4.8939 -2.3415 -0.1019
-1.2476 -1.0800 2.3809

***

<two>
BaEr2CuO5 (PBE-GGA, optimized geometry); Fermi-level density of states = 0.3 states/eV/f.u.; crystal system = orthorhombic
1.0
5.6705 0.0000 0.0000
0.0000 7.1774 0.0000
0.0000 0.0000 12.1786
O Cu Er Ba
20 4 8 4
Cartesian
0.0246 4.7381 0.8300
2.8107 4.7381 0.8300
0.0145 4.6149 9.4011
2.8207 4.6149 9.4011
2.8498 1.0261 8.8668
5.6460 2.4393 11.3486
0.0246 6.0281 6.9194
2.8598 1.1494 5.2593
5.6560 1.0261 8.8668
5.6560 2.5626 2.7775
1.4176 0.6189 1.2242
2.8107 6.0281 6.9194
2.8207 6.1513 3.3118
5.6460 1.1494 5.2593
4.2529 6.5585 10.9544
1.4176 2.9698 7.3135
2.8498 2.5626 2.7775
4.2529 4.2076 4.8651
0.0145 6.1513 3.3118
2.8598 2.4393 11.3486
4.2529 1.5652 10.2228
1.4176 5.6123 1.9558
1.4176 5.1539 8.0451
4.2529 2.0235 4.1335
4.2529 4.3276 11.2786
1.4176 0.8145 3.4943
1.4176 2.7742 9.5836
4.2529 6.4386 5.1893
4.2529 4.4032 2.5950
4.2529 6.3630 8.6843
1.4176 0.7389 6.9893
1.4176 2.8498 0.9000
4.2529 0.4941 1.1695
4.2529 3.0946 7.2589
1.4176 6.6833 11.0091
1.4176 4.0829 4.9198

***

Which structure is most stable? <two>, by 79 meV/atom over the runner-up.